1.
Material: Cs5Sb2S6
Method: DFT, PBE-GGA
State: relaxed

Cell lengths 14.1725, 15.2404, 5.0412 Å; angles 90.00, 90.00, 90.00 degrees
Closest atoms and distances in Å follow each position.
Space group Pbam (No. 55)
Asymmetric unit:
Cs 0.0000 0.0000 0.0000 [2 per cell]  4 S 3.62
Cs 0.0238 0.2675 0.0000 [4 per cell]  6 S 3.49-3.78
Cs 0.2092 0.5089 0.0000 [4 per cell]  5 S 3.43-3.71
Sb 0.2303 0.7170 0.5000 [4 per cell]  4 S 2.41-2.67
S 0.0960 0.6200 0.5000 [4 per cell]  1 Sb 2.41
S 0.1353 0.1144 0.5000 [4 per cell]  1 Sb 2.46
S 0.2271 0.7756 0.0000 [4 per cell]  2 Sb 2.67



2.
Material: Cs2SbS4
Method: DFT, PBE-GGA
State: relaxed

Cell lengths 5.2659, 5.2659, 17.0737 Å; angles 90.00, 90.00, 90.00 degrees
Closest atoms and distances in Å follow each position.
Space group I4/mmm (No. 139)
Asymmetric unit:
Cs 0.0000 0.0000 0.1431 [4 per cell]  9 S 3.59-3.72
Sb 0.0000 0.0000 0.5000 [2 per cell]  6 S 2.39-2.63
S 0.0000 0.0000 0.3597 [4 per cell]  1 Sb 2.39
S 0.0000 0.5000 0.0000 [4 per cell]  2 Sb 2.63

Energy above the most stable polymorph in this dataset, kJ per mole of atoms: 11.6



3.
Material: CsSbS6
Method: DFT, PBE-GGA
State: relaxed

Cell lengths 6.1988, 15.6863, 11.4917 Å; angles 90.00, 106.49, 90.00 degrees
Closest atoms and distances in Å follow each position.
Space group P2_1/c (No. 14)
Asymmetric unit:
Cs 0.1839 0.0804 0.3031 [4 per cell]  8 S 3.62-4.05
Sb 0.4100 0.0886 0.8857 [4 per cell]  3 S 2.42-2.71
S 0.0984 0.1813 0.5816 [4 per cell]  2 S 2.06-2.07
S 0.1847 0.6199 0.6166 [4 per cell]  1 S 2.06
S 0.2299 0.6698 0.9096 [4 per cell]  2 S 2.07-2.08
S 0.2360 0.7172 0.7418 [4 per cell]  2 S 2.06-2.08
S 0.2607 0.0677 0.6385 [4 per cell]  1 S 2.06
S 0.4010 0.5655 0.3734 [4 per cell]  2 Sb 2.42-2.71



Respective energy relative to the elements, uncorrected values: -11.387 -3.042 -3.026 eV per formula unit.